Density functional theory data (PBE-GGA) for an optimized crystal structure of ReBPH2.

a = 3.3723 Å, b = 4.2767 Å, c = 3.3723 Å
α = 90.00°, β = 90.00°, γ = 90.00°
With the nearest neighbours (Å) after each atom.
Fractional coordinates of all 5 atoms:
H1 0.5000 0.0000 0.0000  2 Re 1.69
P1 0.5000 0.5000 0.5000  4 B 2.38
Re1 0.0000 0.0000 0.0000  4 H 1.69
H2 0.0000 0.0000 0.5000  2 Re 1.69
B1 0.0000 0.5000 0.0000  2 Re 2.14, 4 P 2.38

Calculated values
V (Å³/f.u.): 48.64
N(E_F) (states/eV per atom): 0.43
VASP energy (eV/atom): -5.4078

---

Density functional theory data (PBE-GGA) for an optimized crystal structure of B2PHRh.

a = 3.9943 Å, b = 2.9188 Å, c = 3.9943 Å
α = 90.00°, β = 90.00°, γ = 90.00°
With the nearest neighbours (Å) after each atom.
Fractional coordinates of all 5 atoms:
B1 0.0000 0.0000 0.5000  2 P 2.00
H1 0.0000 0.5000 0.0000  2 P 1.46
Rh1 0.5000 0.5000 0.5000  8 B 2.47
P1 0.0000 0.0000 0.0000  2 H 1.46
B2 0.5000 0.0000 0.0000  2 P 2.00

Calculated values
V (Å³/f.u.): 46.57
N(E_F) (states/eV per atom): 0.69
VASP energy (eV/atom): -5.0745

---

Density functional theory data (PBE-GGA) for an optimized crystal structure of BPH2S4.

a = 5.4741 Å, b = 5.4741 Å, c = 14.4475 Å
α = 121.44°, β = 121.44°, γ = 67.99°
With the nearest neighbours (Å) after each atom.
Fractional coordinates of all 16 atoms:
S1 0.1015 0.4784 0.1289  1 B 1.70
S2 0.4742 0.8596 0.0708  2 H 1.65-1.67
P1 0.5000 0.5000 0.5000  4 S 2.22-2.36
H1 0.5000 0.0000 0.5000  2 S 1.65
B1 0.0000 0.5000 0.5000  2 S 1.70
S3 0.8985 0.5216 0.8711  1 B 1.70
P2 0.0000 0.0000 0.0000  4 S 2.22-2.36
S4 0.9784 0.6015 0.6289  1 B 1.70
S5 0.0216 0.3985 0.3711  1 B 1.70
H2 0.5000 0.5000 0.0000  2 S 1.67
S6 0.3596 0.9742 0.5708  2 H 1.65-1.67
B2 0.0000 0.5000 0.0000  2 S 1.70
S7 0.5258 0.1404 0.9292  2 H 1.65-1.67
H3 0.5000 0.0000 0.0000  2 S 1.65
S8 0.6404 0.0258 0.4292  2 H 1.65-1.67
H4 0.0000 0.0000 0.5000  2 S 1.67

Calculated values
V (Å³/f.u.): 155.99
N(E_F) (states/eV per atom): 0.36
VASP energy (eV/atom): -4.1800

---

Density functional theory data (PBE-GGA) for an optimized crystal structure of BPHS2.

a = 4.2792 Å, b = 4.2792 Å, c = 3.9251 Å
α = 90.00°, β = 90.00°, γ = 90.00°
With the nearest neighbours (Å) after each atom.
Fractional coordinates of all 5 atoms:
P1 0.0000 0.0000 0.5000  2 B 1.96
H1 0.5000 0.5000 0.5000  8 S 2.90, 4 P 3.03
S1 0.0000 0.5000 0.0000  2 B 2.14
B1 0.0000 0.0000 0.0000  2 P 1.96, 4 S 2.14
S2 0.5000 0.0000 0.0000  2 B 2.14

Calculated values
Distance to the lowest polymorph of the same formula (kJ per mole of atoms): 0.0
V (Å³/f.u.): 71.88
N(E_F) (states/eV per atom): 0.55

---

Density functional theory data (PBE-GGA) for an optimized crystal structure of BPHS2.

a = 4.4713 Å, b = 4.4713 Å, c = 3.1002 Å
α = 90.00°, β = 90.00°, γ = 90.00°
With the nearest neighbours (Å) after each atom.
Fractional coordinates of all 5 atoms:
S1 0.5000 0.0000 0.0000  2 H 2.24
S2 0.0000 0.5000 0.0000  2 H 2.24
H1 0.0000 0.0000 0.0000  2 P 1.55
B1 0.5000 0.5000 0.5000  8 S 2.72
P1 0.0000 0.0000 0.5000  2 H 1.55

Calculated values
Distance to the lowest polymorph of the same formula (kJ per mole of atoms): 16.3
V (Å³/f.u.): 61.98
N(E_F) (states/eV per atom): 0.42

---

Density functional theory data (PBE-GGA) for an optimized crystal structure of Tc2BPH.

a = 4.4545 Å, b = 2.9388 Å, c = 4.4545 Å
α = 90.00°, β = 90.00°, γ = 90.00°
With the nearest neighbours (Å) after each atom.
Fractional coordinates of all 5 atoms:
H1 0.0000 0.5000 0.0000  2 P 1.47
P1 0.0000 0.0000 0.0000  2 H 1.47
Tc1 0.0000 0.0000 0.5000  2 P 2.23
B1 0.5000 0.5000 0.5000  8 Tc 2.67, 2 B 2.94
Tc2 0.5000 0.0000 0.0000  2 P 2.23

Calculated values
V (Å³/f.u.): 58.31
N(E_F) (states/eV per atom): 0.95
VASP energy (eV/atom): -6.3858

---

What is the N(E_F) in the sixth record?
0.95 states/eV per atom

---

The highest N(E_F) belongs to which entry?
Tc2BPH

---

What is the formula in the fifth record?
BPHS2